No. 1
Lu3Ga9Pd2 at its PBEsol-relaxed geometry. Source: Alexandria via LeMat-Bulk, functional SCAN.

Unit cell a=7.951 b=7.951 c=7.951 alpha=149.43 beta=108.40 gamma=79.83
Element x y z (fractional)
1 Lu 0.000 0.000 0.000
2 Lu 0.300 0.300 0.000
3 Lu 0.700 0.700 0.000
4 Ga 0.023 0.655 0.368
5 Ga 0.144 0.861 0.283
6 Ga 0.287 0.655 0.632
7 Ga 0.422 0.139 0.283
8 Ga 0.500 0.000 0.500
9 Ga 0.578 0.861 0.717
10 Ga 0.713 0.345 0.368
11 Ga 0.856 0.139 0.717
12 Ga 0.977 0.345 0.632
13 Pd 0.318 0.500 0.818
14 Pd 0.682 0.500 0.182

Summary:
Space-group type   Immm
Uncorrected energy   -388.440 eV per cell

=====

No. 2
GaSbH2 at its PBEsol-relaxed geometry. Source: Alexandria via LeMat-Bulk, functional SCAN.

Unit cell a=5.407 b=5.407 c=5.407 alpha=120.86 beta=120.86 gamma=88.51
Element x y z (fractional)
1 Ga 0.000 0.000 0.000
2 Ga 0.750 0.250 0.500
3 Sb 0.250 0.750 0.500
4 Sb 0.500 0.500 0.000
5 H 0.375 0.218 0.343
6 H 0.782 0.125 0.157
7 H 0.875 0.032 0.657
8 H 0.968 0.625 0.843

Summary:
Space-group type   I-42d
Uncorrected energy   -117.505 eV per cell

=====

No. 3
Li2MoRh at its PBEsol-relaxed geometry. Source: Alexandria via LeMat-Bulk, functional SCAN.

Unit cell a=4.196 b=4.196 c=4.196 alpha=60.00 beta=60.00 gamma=60.00
Element x y z (fractional)
1 Li 0.000 0.000 0.000
2 Li 0.250 0.250 0.250
3 Mo 0.500 0.500 0.500
4 Rh 0.750 0.750 0.750

Summary:
Space-group type   F-43m
Uncorrected energy   -73.291 eV per cell

=====

No. 4
BaBe2Tl at its PBEsol-relaxed geometry. Source: Alexandria via LeMat-Bulk, functional SCAN.

Unit cell a=4.938 b=4.938 c=4.938 alpha=60.00 beta=60.00 gamma=60.00
Element x y z (fractional)
1 Ba 0.000 0.000 0.000
2 Be 0.250 0.250 0.250
3 Be 0.750 0.750 0.750
4 Tl 0.500 0.500 0.500

Summary:
Space-group type   Fm-3m
Uncorrected energy   -118.511 eV per cell

=====

| no. | volume (Å³ per cell) |
| --- | --- |
| 1 | 237.8 |
| 2 | 110.3 |
| 3 | 52.2 |
| 4 | 85.1 |